A geometry-optimized TmPaBeO6 structure, computed with PBE.

Cell: 4.7968 5.1892 5.1892 Å, 120.00 90.00 90.00°
With the nearest neighbours (Å) after each atom.
Element x y z (fractional)
O1 0.7284 0.2850 0.9775  1 Be 1.89
O2 0.7284 0.6924 0.7150  1 Be 1.89
O3 0.7284 0.0225 0.3076  1 Be 1.89
O4 0.2716 0.6924 0.9775  1 Be 1.89
O5 0.2716 0.0225 0.7150  1 Be 1.89
O6 0.2716 0.2850 0.3076  1 Be 1.89
Be1 0.5000 0.0000 0.0000  6 O 1.89
Tm1 0.5000 0.6667 0.3333  6 O 2.21
Pa1 0.0000 0.3333 0.6667  6 O 2.18

Properties
energy = -70.57 eV per cell
energy relative to the elements, uncorrected = -2.57 eV/atom
crystal system = trigonal
D(E_F) = 0.616 states/eV/atom
space-group type = No. 149